The following is a GGA-PBE calculation of a relaxed structure of DySbAsO, from OQMD.

Values from the calculation:
Total energy: -5.2632 eV/atom

The structure in CIF format:
```
data_DySbAsO
_chemical_formula_sum 'Dy2 Sb2 As2 O2'
_space_group_name_H-M_alt 'P 1'
_space_group_IT_number 1
_cell_length_a 4.7828
_cell_length_b 4.7828
_cell_length_c 7.3350
_cell_angle_alpha 90.00
_cell_angle_beta 90.00
_cell_angle_gamma 90.00
loop_
_space_group_symop_operation_xyz
'x,y,z'
loop_
_atom_site_label
_atom_site_type_symbol
_atom_site_fract_x
_atom_site_fract_y
_atom_site_fract_z
Dy1 Dy 0.2500 0.7500 0.0000
Dy2 Dy 0.7500 0.2500 0.0000
Sb1 Sb 0.2500 0.2500 0.4306
Sb2 Sb 0.7500 0.7500 0.5694
As1 As 0.2500 0.2500 0.8038
As2 As 0.7500 0.7500 0.1962
O1 O 0.2500 0.7500 0.5000
O2 O 0.7500 0.2500 0.5000
```

The following is a GGA-PBE calculation of a relaxed structure of SrDyAsO, from OQMD.

Values from the calculation:
Total energy: -5.9535 eV/atom

The structure in CIF format:
```
data_SrDyAsO
_chemical_formula_sum 'Sr2 Dy2 As2 O2'
_space_group_name_H-M_alt 'P 1'
_space_group_IT_number 1
_cell_length_a 4.0893
_cell_length_b 6.7340
_cell_length_c 7.1526
_cell_angle_alpha 90.00
_cell_angle_beta 90.00
_cell_angle_gamma 90.00
loop_
_space_group_symop_operation_xyz
'x,y,z'
loop_
_atom_site_label
_atom_site_type_symbol
_atom_site_fract_x
_atom_site_fract_y
_atom_site_fract_z
Sr1 Sr 0.0000 0.0476 0.0000
Sr2 Sr 0.0000 0.9524 0.5000
Dy1 Dy 0.5000 0.3710 0.3424
Dy2 Dy 0.5000 0.6290 0.8424
As1 As 0.5000 0.2342 0.7230
As2 As 0.5000 0.7658 0.2230
O1 O 0.0000 0.2593 0.2800
O2 O 0.0000 0.7407 0.7800
```

The following is a GGA-PBE calculation of a relaxed structure of SrDyAsO, from OQMD.

Values from the calculation:
Total energy: -5.6775 eV/atom

The structure in CIF format:
```
data_SrDyAsO
_chemical_formula_sum 'Sr2 Dy2 As2 O2'
_space_group_name_H-M_alt 'P 1'
_space_group_IT_number 1
_cell_length_a 4.3944
_cell_length_b 4.3944
_cell_length_c 9.2613
_cell_angle_alpha 90.00
_cell_angle_beta 90.00
_cell_angle_gamma 90.00
loop_
_space_group_symop_operation_xyz
'x,y,z'
loop_
_atom_site_label
_atom_site_type_symbol
_atom_site_fract_x
_atom_site_fract_y
_atom_site_fract_z
Sr1 Sr 0.2500 0.7500 0.0000
Sr2 Sr 0.7500 0.2500 0.0000
Dy1 Dy 0.2500 0.2500 0.4143
Dy2 Dy 0.7500 0.7500 0.5857
As1 As 0.2500 0.2500 0.7789
As2 As 0.7500 0.7500 0.2211
O1 O 0.2500 0.7500 0.5000
O2 O 0.7500 0.2500 0.5000
```

> total energy of number 3 (SrDyAsO)?

-5.6775 eV/atom